Entry from Alexandria via LeMat-Bulk: a relaxed Li2ZnGe2Pt5 crystal (PBE).

Results
Formation energy ... -522 meV/atom
ρ ... 12.5 g cm⁻³
V ... 15.950 A^3/atom
Space group ... P4/mbm (127)
N(E_F) ... 6.34 states/eV/cell

a b c (Å): 3.720 9.261 9.261
angles (deg): 90.00 90.00 90.00
Element x y z (fractional)
Zn (0.000, 0.500, 0.500)
Zn (0.000, 0.000, 0.000)
Li (0.000, 0.168, 0.332)
Li (0.000, 0.832, 0.668)
Li (0.000, 0.668, 0.168)
Li (0.000, 0.332, 0.832)
Pt (0.500, 0.198, 0.073)
Pt (0.500, 0.000, 0.500)
Pt (0.500, 0.927, 0.198)
Pt (0.500, 0.500, 0.000)
Pt (0.500, 0.573, 0.698)
Pt (0.500, 0.302, 0.573)
Pt (0.500, 0.802, 0.927)
Pt (0.500, 0.073, 0.802)
Pt (0.500, 0.427, 0.302)
Pt (0.500, 0.698, 0.427)
Ge (0.000, 0.633, 0.867)
Ge (0.000, 0.367, 0.133)
Ge (0.000, 0.133, 0.633)
Ge (0.000, 0.867, 0.367)

***

Entry from Alexandria via LeMat-Bulk: a relaxed RbSrTa2Pb crystal (PBE).

Results
Formation energy ... 2392 meV/atom
ρ ... 7.6 g cm⁻³
V ... 32.277 A^3/atom
Space group ... P4/mmm (123)
N(E_F) ... 5.89 states/eV/cell

a b c (Å): 5.272 5.807 5.272
angles (deg): 90.00 90.00 90.00
Element x y z (fractional)
Ta (0.500, 0.000, 0.000)
Ta (0.000, 0.000, 0.500)
Rb (0.000, 0.500, 0.000)
Pb (0.500, 0.500, 0.500)
Sr (0.000, 0.000, 0.000)

***

Entry from Alexandria via LeMat-Bulk: a relaxed TlAg3Se3 crystal (PBE).

Results
ΔE_f (raw) ... -69 meV per atom
ρ ... 7.4 g cm⁻³
V ... 24.561 A^3/atom
Space group ... P2_1/m (11)
N(E_F) ... 3.31 states/eV/cell

a b c (Å): 5.367 9.830 7.439
angles (deg): 118.83 90.00 90.00
Element x y z (fractional)
Ag (0.250, 0.994, 0.653)
Ag (0.750, 0.665, 0.624)
Ag (0.250, 0.335, 0.376)
Ag (0.750, 0.141, 0.074)
Ag (0.250, 0.859, 0.926)
Ag (0.750, 0.006, 0.347)
Se (0.250, 0.647, 0.544)
Se (0.250, 0.303, 0.953)
Se (0.750, 0.954, 0.690)
Se (0.250, 0.046, 0.310)
Se (0.750, 0.697, 0.047)
Se (0.750, 0.353, 0.456)
Tl (0.750, 0.353, 0.853)
Tl (0.250, 0.647, 0.147)